NaMg3Ga: relaxed, PBE.

- total magnetic moment (Bohr magnetons per cell) = 0.00
- calculated formation energy (eV per atom) = 0.710
- polymorph energy (0 for the lowest one) (eV/atom) = 0.588

Unit cell a=5.358 b=5.358 c=5.358 alpha=90.00 beta=90.00 gamma=90.00
Atoms (fractional coordinates):
Mg 0.000 0.000 0.500
Mg 0.500 0.000 0.000
Mg 0.000 0.500 0.000
Na 0.000 0.000 0.000
Ga 0.500 0.500 0.500

***

ScMnW: relaxed, PBE.

- total magnetic moment (Bohr magnetons per cell) = 0.00
- calculated formation energy (eV per atom) = 0.067
- polymorph energy (0 for the lowest one) (eV/atom) = 0.101

Unit cell a=5.499 b=5.500 c=5.500 alpha=147.66 beta=147.66 gamma=46.39
Atoms (fractional coordinates):
W 0.645 0.645 0.000
Sc 0.339 0.339 0.000
Mn 0.016 0.016 0.000

***

Ta2GaS6: relaxed, PBE.

- formation energy from raw total energies (eV per atom) = -0.78
- total magnetic moment (Bohr magnetons per cell) = 0.00

Unit cell a=3.306 b=7.087 c=9.257 alpha=80.51 beta=79.71 gamma=76.51
Atoms (fractional coordinates):
S 0.208 0.724 0.861
S 0.327 0.811 0.534
S 0.024 0.187 0.765
S 0.792 0.276 0.139
S 0.976 0.813 0.235
S 0.673 0.189 0.466
Ta 0.681 0.931 0.707
Ta 0.319 0.069 0.293
Ga 0.000 0.000 0.000

***

K3Li2PaF9: relaxed, PBE.

- formation energy from raw total energies (eV per atom) = -3.15
- total magnetic moment (Bohr magnetons per cell) = 1.00

Unit cell a=5.927 b=5.927 c=7.899 alpha=90.00 beta=90.00 gamma=120.00
Each line ends with the local moment (μB).
Atoms (fractional coordinates):
F 0.832 0.168 0.672  -0.01
F 0.663 0.832 0.328  -0.01
F 0.832 0.663 0.672  -0.01
F 0.337 0.168 0.672  -0.01
F 0.500 0.500 0.000  0.00
F 0.168 0.337 0.328  -0.01
F 0.500 0.000 0.000  0.00
F 0.000 0.500 0.000  0.00
F 0.168 0.832 0.328  -0.01
K 0.000 0.000 0.000  0.00
K 0.333 0.667 0.751  0.00
K 0.667 0.333 0.249  0.00
Li 0.667 0.333 0.874  0.00
Li 0.333 0.667 0.126  0.00
Pa 0.000 0.000 0.500  1.02

***

Sn2BiTe4: relaxed, PBE.

- formation energy from raw total energies (eV per atom) = -0.17
- total magnetic moment (Bohr magnetons per cell) = 0.00
- polymorph energy (0 for the lowest one) (eV/atom) = 0.015

Unit cell a=4.411 b=7.552 c=14.635 alpha=90.00 beta=90.00 gamma=106.98
Atoms (fractional coordinates):
Sn 0.860 0.720 0.557
Sn 0.140 0.280 0.057
Sn 0.860 0.720 0.943
Sn 0.140 0.280 0.443
Te 0.224 0.448 0.866
Te 0.224 0.448 0.634
Te 0.056 0.112 0.250
Te 0.776 0.552 0.134
Te 0.944 0.888 0.750
Te 0.500 0.000 0.500
Te 0.776 0.552 0.366
Te 0.500 0.000 0.000
Bi 0.408 0.816 0.250
Bi 0.592 0.184 0.750

***

Zn2CdAu: relaxed, PBE.

- total magnetic moment (Bohr magnetons per cell) = 0.00
- calculated formation energy (eV per atom) = -0.030
- polymorph energy (0 for the lowest one) (eV/atom) = 0.065

Unit cell a=5.406 b=5.406 c=5.406 alpha=145.51 beta=126.61 gamma=65.13
Atoms (fractional coordinates):
Zn 0.487 0.487 0.000
Zn 0.013 0.013 0.000
Au 0.250 0.750 0.500
Cd 0.750 0.250 0.500

***

BC2: relaxed, PBE.

- total magnetic moment (Bohr magnetons per cell) = 0.00
- calculated formation energy (eV per atom) = 0.392
- polymorph energy (0 for the lowest one) (eV/atom) = 0.152

Unit cell a=2.562 b=4.513 c=6.611 alpha=91.36 beta=90.00 gamma=90.00
Atoms (fractional coordinates):
C 0.500 0.155 0.918
C 0.000 0.329 0.604
C 0.000 0.997 0.994
C 0.000 0.674 0.665
C 0.500 0.170 0.683
C 0.000 0.975 0.229
C 0.500 0.837 0.587
C 0.000 0.683 0.898
B 0.500 0.506 0.984
B 0.500 0.895 0.344
B 0.000 0.296 0.363
B 0.500 0.484 0.233

***

Pm5SnRu2: relaxed, PBE.

- total magnetic moment (Bohr magnetons per cell) = 0.00
- calculated formation energy (eV per atom) = -0.398

Unit cell a=7.900 b=7.900 c=8.927 alpha=116.26 beta=116.26 gamma=90.00
Atoms (fractional coordinates):
Sn 0.750 0.750 0.500
Sn 0.250 0.250 0.500
Ru 0.141 0.359 0.000
Ru 0.859 0.641 0.000
Ru 0.641 0.141 0.000
Ru 0.359 0.859 0.000
Pm 0.793 0.974 0.267
Pm 0.000 0.000 0.000
Pm 0.026 0.526 0.733
Pm 0.207 0.026 0.733
Pm 0.526 0.707 0.733
Pm 0.474 0.293 0.267
Pm 0.293 0.793 0.267
Pm 0.500 0.500 0.000
Pm 0.974 0.474 0.267
Pm 0.707 0.207 0.733

***

LiNi3Rh: relaxed, PBE.

- total magnetic moment (Bohr magnetons per cell) = 10.20
- calculated formation energy (eV per atom) = 0.093
- polymorph energy (0 for the lowest one) (eV/atom) = 0.000

Unit cell a=4.079 b=6.758 c=10.087 alpha=90.61 beta=66.03 gamma=89.94
Each line ends with the local moment (μB).
Atoms (fractional coordinates):
Li 0.811 0.425 0.939  -0.02
Li 0.313 0.150 0.438  -0.01
Li 0.687 0.850 0.562  -0.01
Li 0.189 0.575 0.061  -0.02
Ni 0.389 0.852 0.862  0.71
Ni 0.469 0.510 0.780  0.62
Ni 0.004 0.710 0.746  0.77
Ni 0.080 0.945 0.170  0.71
Ni 0.531 0.490 0.220  0.62
Ni 0.539 0.155 0.711  0.64
Ni 0.461 0.845 0.289  0.64
Ni 0.929 0.654 0.320  0.60
Ni 0.920 0.055 0.830  0.71
Ni 0.996 0.290 0.254  0.77
Ni 0.611 0.148 0.138  0.71
Ni 0.071 0.346 0.680  0.60
Rh 0.264 0.611 0.485  0.71
Rh 0.736 0.389 0.515  0.71
Rh 0.273 0.202 0.976  0.58
Rh 0.727 0.798 0.024  0.58

***

Zn2Cu3Ni: relaxed, PBE.

- total magnetic moment (Bohr magnetons per cell) = 0.00
- calculated formation energy (eV per atom) = -0.092

Unit cell a=3.665 b=5.795 c=8.257 alpha=115.26 beta=90.00 gamma=108.44
Atoms (fractional coordinates):
Zn 0.209 0.417 0.868
Zn 0.534 0.068 0.871
Zn 0.466 0.932 0.129
Zn 0.791 0.583 0.132
Cu 0.044 0.088 0.376
Cu 0.956 0.912 0.624
Cu 0.375 0.751 0.380
Cu 0.290 0.580 0.623
Cu 0.710 0.420 0.377
Cu 0.625 0.249 0.620
Ni 0.873 0.747 0.877
Ni 0.127 0.253 0.123

***

La3Pm4Tl: relaxed, PBE.

- total magnetic moment (Bohr magnetons per cell) = 0.00
- calculated formation energy (eV per atom) = -0.083

Unit cell a=5.027 b=10.292 c=10.322 alpha=90.00 beta=90.00 gamma=90.00
Atoms (fractional coordinates):
La 0.064 0.376 0.500
La 0.564 0.384 0.250
La 0.064 0.616 0.250
La 0.564 0.384 0.750
La 0.564 0.624 0.000
La 0.064 0.616 0.750
Pm 0.564 0.127 0.000
Pm 0.564 0.873 0.745
Pm 0.064 0.874 0.000
Pm 0.064 0.873 0.500
Pm 0.064 0.127 0.755
Pm 0.564 0.873 0.255
Pm 0.564 0.126 0.500
Pm 0.064 0.127 0.245
Tl 0.564 0.631 0.500
Tl 0.064 0.369 0.000

***

Mn2ReCl: relaxed, PBE.

- formation energy from raw total energies (eV per atom) = 0.57
- total magnetic moment (Bohr magnetons per cell) = 5.36
- polymorph energy (0 for the lowest one) (eV/atom) = 0.465

Unit cell a=4.491 b=4.491 c=4.863 alpha=91.68 beta=91.68 gamma=36.84
Each line ends with the local moment (μB).
Atoms (fractional coordinates):
Mn 0.013 0.013 0.033  3.00
Mn 0.739 0.739 0.748  2.69
Re 0.471 0.471 0.553  -0.56
Cl 0.278 0.278 0.166  0.07

***

RbAgPd2Se: relaxed, PBE.

- formation energy from raw total energies (eV per atom) = 0.73
- total magnetic moment (Bohr magnetons per cell) = 0.00

Unit cell a=5.085 b=5.837 c=5.085 alpha=90.00 beta=90.00 gamma=90.00
Atoms (fractional coordinates):
Se 0.500 0.500 0.500
Ag 0.000 0.000 0.000
Pd 0.000 0.000 0.500
Pd 0.500 0.000 0.000
Rb 0.000 0.500 0.000

***

BaH16O10: relaxed, PBE.

- total magnetic moment (Bohr magnetons per cell) = 0.25
- polymorph energy (0 for the lowest one) (eV/atom) = 0.023

Unit cell a=6.425 b=6.387 c=11.653 alpha=94.57 beta=94.17 gamma=90.02
Each line ends with the local moment (μB).
Atoms (fractional coordinates):
H 0.717 0.201 0.217  0.00
H 0.953 0.442 0.344  0.00
H 0.653 0.792 0.621  0.00
H 0.650 0.034 0.790  0.00
H 0.563 0.951 0.347  0.00
H 0.774 0.719 0.223  0.00
H 0.617 0.729 0.397  0.00
H 0.400 0.892 0.868  0.00
H 0.272 0.212 0.279  0.00
H 0.432 0.926 0.152  0.00
H 0.583 0.031 0.621  0.00
H 0.550 0.209 0.884  0.00
H 0.257 0.371 0.102  0.00
H 0.375 0.690 0.102  0.00
H 0.792 0.444 0.617  0.00
H 0.341 0.654 0.887  0.00
H 0.217 0.724 0.282  0.00
H 0.336 0.656 0.610  0.00
H 0.024 0.302 0.769  0.00
H 0.662 0.542 0.897  0.00
H 0.036 0.424 0.153  0.00
H 0.408 0.298 0.392  0.00
H 0.353 0.226 0.700  0.00
H 0.699 0.582 0.108  0.00
H 0.032 0.510 0.630  0.00
H 0.581 0.255 0.104  0.00
H 0.222 0.753 0.719  0.00
H 0.731 0.408 0.394  0.00
H 0.304 0.617 0.393  0.00
H 0.207 0.335 0.875  0.00
H 0.457 0.354 0.602  0.00
H 0.896 0.484 0.879  0.00
O 0.460 0.458 0.051  0.07
O 0.679 0.852 0.358  0.00
O 0.937 0.386 0.633  0.00
O 0.553 0.543 0.574  0.02
O 0.850 0.332 0.354  0.00
O 0.198 0.718 0.634  0.00
O 0.438 0.433 0.922  0.07
O 0.317 0.822 0.142  0.00
O 0.802 0.606 0.887  0.00
O 0.606 0.060 0.870  0.00
O 0.172 0.677 0.355  0.00
O 0.824 0.653 0.151  0.00
O 0.279 0.792 0.863  0.00
O 0.386 0.208 0.620  0.00
O 0.068 0.265 0.849  0.00
O 0.705 0.939 0.641  0.00
O 0.136 0.309 0.140  0.01
O 0.531 0.522 0.445  0.02
O 0.653 0.135 0.143  0.00
O 0.336 0.168 0.353  0.00
Ba 0.029 0.025 0.493  0.00
Ba 0.965 0.956 0.004  0.00

***

TeP2Au: relaxed, PBE.

- formation energy from raw total energies (eV per atom) = 0.24
- total magnetic moment (Bohr magnetons per cell) = 0.00

Unit cell a=3.525 b=3.525 c=6.915 alpha=90.00 beta=90.00 gamma=90.00
Atoms (fractional coordinates):
P 0.500 0.500 0.091
P 0.000 0.000 0.143
Te 0.000 0.000 0.515
Au 0.500 0.500 0.751

***

Nd5SmY5: relaxed, PBE.

- total magnetic moment (Bohr magnetons per cell) = 0.00
- calculated formation energy (eV per atom) = 0.137
- polymorph energy (0 for the lowest one) (eV/atom) = 0.000

Unit cell a=6.973 b=8.813 c=9.649 alpha=44.30 beta=89.53 gamma=105.63
Atoms (fractional coordinates):
Nd 0.150 0.488 0.146
Nd 0.767 0.909 0.354
Nd 0.233 0.091 0.646
Nd 0.850 0.512 0.854
Nd 0.500 0.000 0.000
Y 0.000 0.500 0.500
Y 0.654 0.504 0.222
Y 0.316 0.041 0.322
Y 0.346 0.496 0.778
Y 0.684 0.959 0.678
Sm 0.000 0.000 0.000

***

Cu2PPb: relaxed, PBE.

- total magnetic moment (Bohr magnetons per cell) = 0.00
- calculated formation energy (eV per atom) = 0.414

Unit cell a=4.280 b=4.280 c=3.805 alpha=90.00 beta=90.00 gamma=90.06
Atoms (fractional coordinates):
Pb 0.000 0.500 0.500
Cu 0.500 0.500 0.000
Cu 0.000 0.000 0.000
P 0.500 0.000 0.500

***

TiSiP2O: relaxed, PBE.

- formation energy from raw total energies (eV per atom) = -0.27
- total magnetic moment (Bohr magnetons per cell) = 0.00
- polymorph energy (0 for the lowest one) (eV/atom) = 0.109

Unit cell a=4.861 b=4.861 c=3.671 alpha=90.00 beta=90.00 gamma=90.00
Atoms (fractional coordinates):
Si 0.500 0.500 0.500
P 0.000 0.500 0.000
P 0.500 0.000 0.000
O 0.000 0.000 0.500
Ti 0.000 0.000 0.000